A relaxed structure of PmSbIr. Source: Alexandria, functional PBE.

Calculated values
Electronic total energy ... -81.4 eV/cell
Magnetic moment ... 0.0 μB/cell
N(E_F) ... 6.73 states/eV per cell
SG ... Pnma (62)
ρ ... 11.31 g cm⁻³
Polymorph energy (0 for the lowest one) ... 0.0 meV/atom

Lattice parameters (Å, degrees): 7.361 4.589 7.982 90.00 90.00 90.00
Element x y z (fractional)
Pm  0.014  0.250  0.193
Pm  0.486  0.750  0.693
Pm  0.514  0.250  0.307
Pm  0.986  0.750  0.807
Sb  0.177  0.250  0.587
Sb  0.323  0.750  0.087
Sb  0.677  0.250  0.913
Sb  0.823  0.750  0.413
Ir  0.204  0.750  0.410
Ir  0.296  0.250  0.910
Ir  0.704  0.750  0.090
Ir  0.796  0.250  0.590

***

A relaxed structure of LiMg2Br. Source: Alexandria, functional PBE.

Calculated values
Electronic total energy ... -8.2 eV/cell
Magnetic moment ... 0.0 μB/cell
N(E_F) ... 1.52 states/eV per cell
SG ... Cm (8)
ρ ... 2.03 g cm⁻³
Polymorph energy (0 for the lowest one) ... 108.3 meV/atom

Lattice parameters (Å, degrees): 5.574 5.574 7.136 119.96 119.96 35.90
Element x y z (fractional)
Li  0.000  0.000  0.000
Mg  0.598  0.598  0.413
Mg  0.810  0.810  0.241
Br  0.287  0.287  0.778

***

A relaxed structure of AsRu2Au. Source: Alexandria, functional PBE.

Calculated values
Energy of formation ... 336 kJ/mol of formula units
Electronic total energy ... -46.0 eV/cell
Magnetic moment ... 0.0 μB/cell
N(E_F) ... 12.02 states/eV per cell
SG ... I-42d (122)
ρ ... 9.04 g cm⁻³

Lattice parameters (Å, degrees): 7.332 7.332 7.332 138.07 138.07 60.80
Element x y z (fractional)
As  0.000  0.000  0.000
As  0.750  0.250  0.500
Ru  0.087  0.625  0.962
Ru  0.375  0.337  0.462
Ru  0.663  0.125  0.038
Ru  0.875  0.913  0.538
Au  0.250  0.750  0.500
Au  0.500  0.500  0.000

***

A relaxed structure of Ti5NbGa5. Source: Alexandria, functional PBE.

Calculated values
Energy of formation ... -90 kJ/mol of formula units
Electronic total energy ... -65.6 eV/cell
Magnetic moment ... 0.0 μB/cell
N(E_F) ... 9.81 states/eV per cell
SG ... C2/m (12)
ρ ... 5.87 g cm⁻³

Lattice parameters (Å, degrees): 7.642 7.642 5.426 97.39 97.39 37.81
Element x y z (fractional)
Ti  0.000  0.000  0.000
Ti  0.331  0.331  0.567
Ti  0.348  0.348  0.078
Ti  0.652  0.652  0.922
Ti  0.669  0.669  0.433
Nb  0.000  0.000  0.500
Ga  0.169  0.169  0.234
Ga  0.172  0.172  0.744
Ga  0.500  0.500  0.500
Ga  0.828  0.828  0.256
Ga  0.831  0.831  0.766

***

A relaxed structure of Ag2Ge2Au7. Source: Alexandria, functional PBE.

Calculated values
Energy of formation ... 34 kJ/mol of formula units
Electronic total energy ... -37.5 eV/cell
Magnetic moment ... 0.0 μB/cell
N(E_F) ... 2.78 states/eV per cell
SG ... C2/m (12)
ρ ... 13.85 g cm⁻³
Polymorph energy (0 for the lowest one) ... 7.1 meV/atom

Lattice parameters (Å, degrees): 6.966 6.966 4.913 110.05 110.05 89.81
Element x y z (fractional)
Ag  0.178  0.822  0.000
Ag  0.822  0.178  0.000
Ge  0.276  0.276  0.039
Ge  0.724  0.724  0.961
Au  0.000  0.000  0.500
Au  0.082  0.582  0.331
Au  0.404  0.404  0.674
Au  0.418  0.918  0.669
Au  0.582  0.082  0.331
Au  0.596  0.596  0.326
Au  0.918  0.418  0.669

***

A relaxed structure of Er6GaCo3. Source: Alexandria, functional PBE.

Calculated values
Energy of formation ... -192 kJ/mol of formula units
Electronic total energy ... -107.4 eV/cell
Magnetic moment ... 0.0 μB/cell
N(E_F) ... 18.49 states/eV per cell
SG ... P2_1/m (11)
ρ ... 8.86 g cm⁻³

Lattice parameters (Å, degrees): 10.084 3.659 13.334 90.00 107.69 90.00
Element x y z (fractional)
Er  0.029  0.250  0.122
Er  0.067  0.750  0.414
Er  0.220  0.250  0.806
Er  0.334  0.250  0.600
Er  0.343  0.250  0.324
Er  0.352  0.750  0.052
Er  0.648  0.250  0.948
Er  0.657  0.750  0.676
Er  0.666  0.750  0.400
Er  0.780  0.750  0.194
Er  0.933  0.250  0.586
Er  0.971  0.750  0.878
Ga  0.447  0.750  0.799
Ga  0.553  0.250  0.201
Co  0.149  0.750  0.644
Co  0.155  0.250  0.977
Co  0.428  0.750  0.477
Co  0.572  0.250  0.523
Co  0.845  0.750  0.023
Co  0.851  0.250  0.356

***

A relaxed structure of Sr3Ca3Ru4O14. Source: Alexandria, functional PBE.

Calculated values
Electronic total energy ... -164.8 eV/cell
Magnetic moment ... 8.1 μB/cell
N(E_F) ... 6.99 states/eV per cell
SG ... P1 (1)
ρ ... 5.36 g cm⁻³

Lattice parameters (Å, degrees): 5.574 5.611 10.407 90.36 105.52 90.03
Element x y z (fractional)
Sr  0.000  0.000  0.000
Sr  0.191  0.069  0.379
Sr  0.517  0.503  0.003
Ca  0.338  0.584  0.627
Ca  0.712  0.586  0.378
Ca  0.808  0.085  0.626
Ru  0.110  0.539  0.201
Ru  0.409  0.037  0.802
Ru  0.607  0.040  0.201
Ru  0.909  0.536  0.799
O  0.069  0.541  0.999
O  0.097  0.829  0.767
O  0.146  0.540  0.400
O  0.184  0.328  0.764
O  0.337  0.821  0.222
O  0.384  0.011  0.610
O  0.419  0.332  0.234
O  0.447  0.049  0.001
O  0.629  0.743  0.830
O  0.715  0.244  0.827
O  0.743  0.515  0.602
O  0.751  0.018  0.402
O  0.810  0.752  0.176
O  0.883  0.253  0.174

***

A relaxed structure of TiPO2F. Source: Alexandria, functional PBE.

Calculated values
Electronic total energy ... -24.5 eV/cell
Magnetic moment ... 1.1 μB/cell
N(E_F) ... 3.38 states/eV per cell
SG ... P4/mmm (123)
ρ ... 3.71 g cm⁻³

Lattice parameters (Å, degrees): 4.046 4.046 3.552 90.00 90.00 90.00
Element x y z (fractional)
Ti  0.000  0.000  0.000
P  0.500  0.500  0.000
O  0.000  0.500  0.500
O  0.500  0.000  0.500
F  0.500  0.500  0.500

***

A relaxed structure of NaTeP2Se8. Source: Alexandria, functional PBE.

Calculated values
Electronic total energy ... -43.9 eV/cell
Magnetic moment ... 0.0 μB/cell
N(E_F) ... 10.57 states/eV per cell
SG ... R-3 (148)
ρ ... 4.32 g cm⁻³

Lattice parameters (Å, degrees): 10.179 10.179 10.179 35.91 35.91 35.91
Element x y z (fractional)
Na  0.000  0.000  0.000
Te  0.500  0.500  0.500
P  0.252  0.252  0.252
P  0.748  0.748  0.748
Se  0.092  0.404  0.820
Se  0.180  0.908  0.596
Se  0.328  0.328  0.328
Se  0.404  0.820  0.092
Se  0.596  0.180  0.908
Se  0.672  0.672  0.672
Se  0.820  0.092  0.404
Se  0.908  0.596  0.180

***

A relaxed structure of Ac4TlSb3. Source: Alexandria, functional PBE.

Calculated values
Electronic total energy ... -38.5 eV/cell
Magnetic moment ... 0.0 μB/cell
N(E_F) ... 4.81 states/eV per cell
SG ... Pm-3m (221)
ρ ... 7.81 g cm⁻³

Lattice parameters (Å, degrees): 6.797 6.797 6.797 90.00 90.00 90.00
Element x y z (fractional)
Ac  0.000  0.000  0.000
Ac  0.000  0.500  0.500
Ac  0.500  0.000  0.500
Ac  0.500  0.500  0.000
Tl  0.500  0.500  0.500
Sb  0.000  0.000  0.500
Sb  0.000  0.500  0.000
Sb  0.500  0.000  0.000

***

A relaxed structure of YTa2As. Source: Alexandria, functional PBE.

Calculated values
Energy of formation ... -80 kJ/mol of formula units
Electronic total energy ... -35.7 eV/cell
Magnetic moment ... 0.0 μB/cell
N(E_F) ... 3.42 states/eV per cell
SG ... P4mm (99)
ρ ... 10.76 g cm⁻³

Lattice parameters (Å, degrees): 3.447 3.447 6.827 90.00 90.00 90.00
Element x y z (fractional)
Y  0.000  0.000  0.000
Ta  0.000  0.000  0.489
Ta  0.500  0.500  0.707
As  0.500  0.500  0.292

***

A relaxed structure of PbC2Cl. Source: Alexandria, functional PBE.

Calculated values
Electronic total energy ... -29.4 eV/cell
Magnetic moment ... 0.0 μB/cell
N(E_F) ... 1.70 states/eV per cell
SG ... I-42d (122)
ρ ... 6.06 g cm⁻³
Polymorph energy (0 for the lowest one) ... 0.0 meV/atom

Lattice parameters (Å, degrees): 6.968 6.968 6.968 138.66 138.66 59.89
Element x y z (fractional)
Pb  0.000  0.000  0.000
Pb  0.750  0.250  0.500
C  0.157  0.625  0.032
C  0.375  0.407  0.532
C  0.593  0.125  0.968
C  0.875  0.843  0.468
Cl  0.250  0.750  0.500
Cl  0.500  0.500  0.000

***

A relaxed structure of Pr8GeSb4Se3. Source: Alexandria, functional PBE.

Calculated values
Electronic total energy ... -92.5 eV/cell
Magnetic moment ... 0.0 μB/cell
N(E_F) ... 2.64 states/eV per cell
SG ... R-3m (166)
ρ ... 6.50 g cm⁻³

Lattice parameters (Å, degrees): 8.859 8.859 8.859 59.97 59.97 59.97
Element x y z (fractional)
Pr  0.248  0.248  0.248
Pr  0.251  0.744  0.744
Pr  0.256  0.256  0.749
Pr  0.256  0.749  0.256
Pr  0.744  0.251  0.744
Pr  0.744  0.744  0.251
Pr  0.749  0.256  0.256
Pr  0.752  0.752  0.752
Ge  0.500  0.500  0.500
Sb  0.000  0.000  0.000
Sb  0.000  0.500  0.500
Sb  0.500  0.000  0.500
Sb  0.500  0.500  0.000
Se  0.000  0.000  0.500
Se  0.000  0.500  0.000
Se  0.500  0.000  0.000

***

A relaxed structure of LaPm2Mg6. Source: Alexandria, functional PBE.

Calculated values
Energy of formation ... -84 kJ/mol of formula units
Electronic total energy ... -24.9 eV/cell
Magnetic moment ... 0.1 μB/cell
N(E_F) ... 10.31 states/eV per cell
SG ... P6/mmm (191)
ρ ... 3.85 g cm⁻³

Lattice parameters (Å, degrees): 9.193 9.193 3.390 90.00 90.00 120.00
Element x y z (fractional)
La  0.000  0.000  0.000
Pm  0.333  0.667  0.000
Pm  0.667  0.333  0.000
Mg  0.000  0.336  0.500
Mg  0.000  0.664  0.500
Mg  0.336  0.000  0.500
Mg  0.336  0.336  0.500
Mg  0.664  0.000  0.500
Mg  0.664  0.664  0.500

***

A relaxed structure of Tm4P3S. Source: Alexandria, functional PBE.

Calculated values
Electronic total energy ... -52.3 eV/cell
Magnetic moment ... 0.0 μB/cell
N(E_F) ... 2.10 states/eV per cell
SG ... I4/mmm (139)
ρ ... 7.79 g cm⁻³
Polymorph energy (0 for the lowest one) ... 0.0 meV/atom

Lattice parameters (Å, degrees): 6.795 6.795 6.795 131.82 131.82 70.51
Element x y z (fractional)
Tm  0.000  0.500  0.500
Tm  0.247  0.247  0.000
Tm  0.500  0.000  0.500
Tm  0.753  0.753  0.000
P  0.000  0.000  0.000
P  0.250  0.750  0.500
P  0.750  0.250  0.500
S  0.500  0.500  0.000

***

A relaxed structure of Sr3Ga3Ir. Source: Alexandria, functional PBE.

Calculated values
Energy of formation ... -307 kJ/mol of formula units
Electronic total energy ... -52.3 eV/cell
Magnetic moment ... 0.0 μB/cell
N(E_F) ... 11.49 states/eV per cell
SG ... C2/m (12)
ρ ... 5.72 g cm⁻³

Lattice parameters (Å, degrees): 6.347 6.347 15.563 108.17 108.17 40.73
Element x y z (fractional)
Sr  0.017  0.017  0.388
Sr  0.110  0.110  0.920
Sr  0.246  0.246  0.239
Sr  0.754  0.754  0.761
Sr  0.890  0.890  0.080
Sr  0.983  0.983  0.612
Ga  0.316  0.316  0.460
Ga  0.402  0.402  0.922
Ga  0.453  0.453  0.760
Ga  0.547  0.547  0.240
Ga  0.598  0.598  0.078
Ga  0.684  0.684  0.540
Ir  0.272  0.272  0.612
Ir  0.728  0.728  0.388

***

A relaxed structure of ZrTl2Ir2. Source: Alexandria, functional PBE.

Calculated values
Energy of formation ... 35 kJ/mol of formula units
Electronic total energy ... -61.3 eV/cell
Magnetic moment ... 0.0 μB/cell
N(E_F) ... 5.62 states/eV per cell
SG ... P4/mbm (127)
ρ ... 14.33 g cm⁻³

Lattice parameters (Å, degrees): 6.982 6.982 4.204 90.00 90.00 90.00
Element x y z (fractional)
Zr  0.000  0.000  0.000
Zr  0.500  0.500  0.000
Tl  0.173  0.327  0.500
Tl  0.327  0.827  0.500
Tl  0.673  0.173  0.500
Tl  0.827  0.673  0.500
Ir  0.132  0.632  0.000
Ir  0.368  0.132  0.000
Ir  0.632  0.868  0.000
Ir  0.868  0.368  0.000

***

A relaxed structure of PrNd3Pd. Source: Alexandria, functional PBE.

Calculated values
Energy of formation ... -41 kJ/mol of formula units
Electronic total energy ... -24.7 eV/cell
Magnetic moment ... 0.0 μB/cell
N(E_F) ... 11.41 states/eV per cell
SG ... Pm-3m (221)
ρ ... 6.20 g cm⁻³
Polymorph energy (0 for the lowest one) ... 218.4 meV/atom

Lattice parameters (Å, degrees): 5.669 5.669 5.669 90.00 90.00 90.00
Element x y z (fractional)
Pr  0.000  0.000  0.000
Nd  0.000  0.500  0.500
Nd  0.500  0.000  0.500
Nd  0.500  0.500  0.000
Pd  0.500  0.500  0.500

***

A relaxed structure of HRuRh. Source: Alexandria, functional PBE.

Calculated values
Electronic total energy ... -77.7 eV/cell
Magnetic moment ... 0.0 μB/cell
N(E_F) ... 10.52 states/eV per cell
SG ... Pnma (62)
ρ ... 10.89 g cm⁻³
Polymorph energy (0 for the lowest one) ... 0.0 meV/atom

Lattice parameters (Å, degrees): 4.834 4.371 5.919 90.00 90.00 90.00
Element x y z (fractional)
H  0.233  0.250  0.123
H  0.267  0.750  0.623
H  0.733  0.250  0.377
H  0.767  0.750  0.877
Ru  0.076  0.250  0.855
Ru  0.424  0.750  0.355
Ru  0.576  0.250  0.645
Ru  0.924  0.750  0.145
Rh  0.099  0.250  0.395
Rh  0.401  0.750  0.895
Rh  0.599  0.250  0.105
Rh  0.901  0.750  0.605

***

A relaxed structure of ScMoAu. Source: Alexandria, functional PBE.

Calculated values
Energy of formation ... 12 kJ/mol of formula units
Electronic total energy ... -20.3 eV/cell
Magnetic moment ... 0.0 μB/cell
N(E_F) ... 3.44 states/eV per cell
SG ... Imm2 (44)
ρ ... 10.27 g cm⁻³
Polymorph energy (0 for the lowest one) ... 113.1 meV/atom

Lattice parameters (Å, degrees): 5.416 5.416 5.416 147.13 140.40 52.38
Element x y z (fractional)
Sc  0.000  0.000  0.000
Mo  0.331  0.331  0.000
Au  0.670  0.670  0.000

***

A relaxed structure of LaZnAsN. Source: Alexandria, functional PBE.

Calculated values
Electronic total energy ... -21.9 eV/cell
Magnetic moment ... 0.0 μB/cell
N(E_F) ... 1.40 states/eV per cell
SG ... Amm2 (38)
ρ ... 6.23 g cm⁻³
Polymorph energy (0 for the lowest one) ... 54.1 meV/atom

Lattice parameters (Å, degrees): 3.538 6.599 6.599 30.49 90.00 90.00
Element x y z (fractional)
La  0.000  0.000  0.000
Zn  0.500  0.307  0.307
As  0.000  0.724  0.724
N  0.500  0.461  0.461

***

A relaxed structure of LiCaCd2In4. Source: Alexandria, functional PBE.

Calculated values
Energy of formation ... -140 kJ/mol of formula units
Electronic total energy ... -18.1 eV/cell
Magnetic moment ... 0.0 μB/cell
N(E_F) ... 2.43 states/eV per cell
SG ... R-3m (166)
ρ ... 6.19 g cm⁻³

Lattice parameters (Å, degrees): 9.050 9.050 9.050 33.05 33.05 33.05
Element x y z (fractional)
Li  0.000  0.000  0.000
Ca  0.500  0.500  0.500
Cd  0.246  0.246  0.246
Cd  0.754  0.754  0.754
In  0.116  0.116  0.116
In  0.370  0.370  0.370
In  0.630  0.630  0.630
In  0.884  0.884  0.884

***

A relaxed structure of Er2ThZr. Source: Alexandria, functional PBE.

Calculated values
Energy of formation ... 26 kJ/mol of formula units
Electronic total energy ... -24.8 eV/cell
Magnetic moment ... 0.0 μB/cell
N(E_F) ... 4.48 states/eV per cell
SG ... P4/mmm (123)
ρ ... 9.54 g cm⁻³
Polymorph energy (0 for the lowest one) ... 12.8 meV/atom

Lattice parameters (Å, degrees): 4.792 4.792 4.984 90.00 90.00 90.00
Element x y z (fractional)
Er  0.000  0.500  0.000
Er  0.500  0.000  0.000
Th  0.000  0.000  0.500
Zr  0.500  0.500  0.500